A relaxed Sb2Pb crystal, computed with PBE.

Properties
- DFT total energy: -3.917 eV/atom
- E_form (uncorrected): 0.067 eV per atom

Lattice parameters (Å, degrees): 4.326 4.326 5.837 90.00 90.00 120.00
Atoms (fractional coordinates):
Sb 0.667 0.333 0.651
Sb 0.333 0.667 0.349
Pb 0.000 0.000 0.000